Na3MoI2F6: optimized geometry, PBE+U.

Lattice parameters (Å, degrees): 7.8366 7.8366 5.8880 90.22 90.22 48.55
Element x y z (fractional)
Na (0.0000, 0.0000, 0.0000)
Na (0.0000, 0.5000, 0.5000)
Na (0.5000, 0.0000, 0.5000)
Mo (0.5000, 0.5000, 0.5000)
I (0.2333, 0.2333, 0.0000)
I (0.7667, 0.7667, 0.0000)
F (0.2765, 0.7217, 0.2680)
F (0.2783, 0.7235, 0.7320)
F (0.3547, 0.3547, 0.5017)
F (0.6453, 0.6453, 0.4983)
F (0.7217, 0.2765, 0.2680)
F (0.7235, 0.2783, 0.7320)

The total energy is -4.263 eV/atom. Its theoretical density is 3.26 Mg/m³. The value obtained for the density of states at the Fermi level is 0.161 states/eV per atom.